RbPrCr2O8 | GGA+U | optimized geometry

The calculation puts the total magnetic moment at 0.00 μB per atom. The total energy is -82.775 eV per cell.

It has space group P-3 (No. 147), with a = 5.9082 Å, b = 5.9082 Å, c = 8.1786 Å, α = 90.00°, β = 90.00° and γ = 120.00°. The inequivalent atoms are Rb at (0.0000, 0.0000, 0.0000), Pr at (0.0000, 0.0000, 0.5000), Cr at (0.3333, 0.6667, 0.7531), O at (0.1745, 0.3568, 0.6853) and O at (0.3333, 0.6667, 0.9513).